1.
This record from Alexandria via LeMat-Bulk describes a relaxed structure of ScNbIr2N. The functional is PBE-GGA.

The structure in extended XYZ format:
```
5
Lattice="4.6108 0.0000 0.0000 0.0000 4.6108 0.0000 0.0000 0.0000 5.0504" Properties=species:S:1:pos:R:3 pbc="T T T"
Sc 0.0000 0.0000 0.0000
Nb 0.0000 0.0000 2.5252
Ir 0.0000 2.3054 0.0000
Ir 2.3054 0.0000 0.0000
N 2.3054 2.3054 2.5252
```

The total moment comes out at 1.002 μB per formula unit. The value obtained for the density of states at the Fermi level is 1.13 states/eV/atom. As for the energy relative to the elements, uncorrected: 2.610 eV/atom. As for the total energy: -29.40 eV per formula unit.

2.
This record from Alexandria via LeMat-Bulk describes a relaxed structure of NbSnIr2N. The functional is PBE-GGA.

The structure in extended XYZ format:
```
5
Lattice="4.8534 0.0000 0.0000 0.0000 4.8534 0.0000 0.0000 0.0000 5.3387" Properties=species:S:1:pos:R:3 pbc="T T T"
Nb 0.0000 0.0000 0.0000
Sn 0.0000 0.0000 2.6694
Ir 0.0000 2.4267 2.6694
Ir 2.4267 0.0000 2.6694
N 2.4267 2.4267 0.0000
```

The total moment comes out at 0.793 μB per formula unit. The value obtained for the density of states at the Fermi level is 1.31 states/eV/atom. As for the energy relative to the elements, uncorrected: 2.835 eV/atom. As for the total energy: -25.95 eV per formula unit.

3.
This record from Alexandria via LeMat-Bulk describes a relaxed structure of TaNb2IrN. The functional is PBE-GGA.

The structure in extended XYZ format:
```
5
Lattice="4.2316 0.0000 0.0000 0.0000 4.2316 0.0000 0.0000 0.0000 4.2054" Properties=species:S:1:pos:R:3 pbc="T T T"
Ta 0.0000 0.0000 0.0000
Nb 0.0000 2.1158 2.1027
Nb 2.1158 0.0000 2.1027
Ir 2.1158 2.1158 0.0000
N 0.0000 0.0000 2.1027
```

The total moment comes out at 0.000 μB per formula unit. The value obtained for the density of states at the Fermi level is 0.47 states/eV/atom. As for the energy relative to the elements, uncorrected: -0.630 eV/atom. As for the total energy: -52.33 eV per formula unit.

4.
This record from Alexandria via LeMat-Bulk describes a relaxed structure of NbTe2IrN. The functional is PBE-GGA.

The structure in extended XYZ format:
```
5
Lattice="5.4153 0.0000 0.0000 0.0000 5.4153 0.0000 0.0000 0.0000 4.8499" Properties=species:S:1:pos:R:3 pbc="T T T"
Nb 0.0000 0.0000 0.0000
Te 0.0000 2.7077 0.0000
Te 2.7077 0.0000 0.0000
Ir 0.0000 0.0000 2.4249
N 2.7077 2.7077 2.4249
```

The total moment comes out at 2.320 μB per formula unit. The value obtained for the density of states at the Fermi level is 1.22 states/eV/atom. As for the energy relative to the elements, uncorrected: 1.707 eV/atom. As for the total energy: -25.01 eV per formula unit.

5.
This record from Alexandria via LeMat-Bulk describes a relaxed structure of NbTe2IrN. The functional is PBE-GGA.

The structure in extended XYZ format:
```
5
Lattice="5.4477 0.0000 0.0000 0.0000 5.4477 0.0000 0.0000 0.0000 3.7994" Properties=species:S:1:pos:R:3 pbc="T T T"
Nb 0.0000 0.0000 0.0000
Te 0.0000 2.7238 0.0000
Te 2.7238 0.0000 0.0000
Ir 2.7238 2.7238 1.8997
N 0.0000 0.0000 1.8997
```

The total moment comes out at 0.003 μB per formula unit. The value obtained for the density of states at the Fermi level is 0.91 states/eV/atom. As for the energy relative to the elements, uncorrected: 0.787 eV/atom. As for the total energy: -29.60 eV per formula unit.

6.
This record from Alexandria via LeMat-Bulk describes a relaxed structure of NbTe2IrN. The functional is PBE-GGA.

The structure in extended XYZ format:
```
5
Lattice="5.4521 0.0000 0.0000 0.0000 5.4521 0.0000 0.0000 0.0000 3.6585" Properties=species:S:1:pos:R:3 pbc="T T T"
Nb 0.0000 0.0000 0.0000
Te 0.0000 2.7260 1.8293
Te 2.7260 0.0000 1.8293
Ir 2.7260 2.7260 1.8293
N 2.7260 2.7260 0.0000
```

The total moment comes out at 2.331 μB per formula unit. The value obtained for the density of states at the Fermi level is 0.80 states/eV/atom. As for the energy relative to the elements, uncorrected: 0.544 eV/atom. As for the total energy: -30.82 eV per formula unit.

7.
This record from Alexandria via LeMat-Bulk describes a relaxed structure of TiNb2IrN. The functional is PBE-GGA.

The structure in extended XYZ format:
```
5
Lattice="4.2510 0.0000 0.0000 0.0000 4.2510 0.0000 0.0000 0.0000 4.0464" Properties=species:S:1:pos:R:3 pbc="T T T"
Ti 0.0000 0.0000 0.0000
Nb 0.0000 2.1255 2.0232
Nb 2.1255 0.0000 2.0232
Ir 2.1255 2.1255 0.0000
N 0.0000 0.0000 2.0232
```

The total moment comes out at 0.000 μB per formula unit. The value obtained for the density of states at the Fermi level is 0.95 states/eV/atom. As for the energy relative to the elements, uncorrected: -0.768 eV/atom. As for the total energy: -49.06 eV per formula unit.

8.
This record from Alexandria via LeMat-Bulk describes a relaxed structure of NbV2IrN. The functional is PBE-GGA.

The structure in extended XYZ format:
```
5
Lattice="4.6714 0.0000 0.0000 0.0000 4.6714 0.0000 0.0000 0.0000 3.8779" Properties=species:S:1:pos:R:3 pbc="T T T"
Nb 0.0000 0.0000 0.0000
V 0.0000 2.3357 0.0000
V 2.3357 0.0000 0.0000
Ir 2.3357 2.3357 1.9389
N 0.0000 0.0000 1.9389
```

The total moment comes out at 0.006 μB per formula unit. The value obtained for the density of states at the Fermi level is 1.58 states/eV/atom. As for the energy relative to the elements, uncorrected: 1.502 eV/atom. As for the total energy: -37.98 eV per formula unit.

9.
This record from Alexandria via LeMat-Bulk describes a relaxed structure of Nb2VIrN. The functional is PBE-GGA.

The structure in extended XYZ format:
```
5
Lattice="4.2548 0.0000 0.0000 0.0000 4.2548 0.0000 0.0000 0.0000 3.8971" Properties=species:S:1:pos:R:3 pbc="T T T"
Nb 0.0000 2.1274 0.0000
Nb 2.1274 0.0000 0.0000
V 0.0000 0.0000 1.9486
Ir 2.1274 2.1274 1.9486
N 0.0000 0.0000 0.0000
```

The total moment comes out at 0.001 μB per formula unit. The value obtained for the density of states at the Fermi level is 0.68 states/eV/atom. As for the energy relative to the elements, uncorrected: -0.658 eV/atom. As for the total energy: -49.73 eV per formula unit.

10.
This record from Alexandria via LeMat-Bulk describes a relaxed structure of NbV2IrN. The functional is PBE-GGA.

The structure in extended XYZ format:
```
5
Lattice="3.9363 0.0000 0.0000 0.0000 3.9363 0.0000 0.0000 0.0000 4.2318" Properties=species:S:1:pos:R:3 pbc="T T T"
Nb 0.0000 0.0000 0.0000
V 0.0000 1.9681 2.1159
V 1.9681 0.0000 2.1159
Ir 1.9681 1.9681 0.0000
N 0.0000 0.0000 2.1159
```

The total moment comes out at 0.000 μB per formula unit. The value obtained for the density of states at the Fermi level is 0.60 states/eV/atom. As for the energy relative to the elements, uncorrected: -0.681 eV/atom. As for the total energy: -48.90 eV per formula unit.